Entry 1:
Material: VGa2Ni2
Method: DFT, PBE
State: optimized geometry

```
data_VGa2Ni2
_chemical_formula_sum 'V2 Ga4 Ni4'
_cell_length_a 7.032
_cell_length_b 7.032
_cell_length_c 2.632
_cell_angle_alpha 90.00
_cell_angle_beta 90.00
_cell_angle_gamma 90.00
_symmetry_space_group_name_H-M 'P 4/m b m'
_symmetry_Int_Tables_number 127
_symmetry_space_group_name_Hall '-P 4 2ab'
loop_
_atom_site_label
_atom_site_type_symbol
_atom_site_fract_x
_atom_site_fract_y
_atom_site_fract_z
V1 V 0.000 0.000 0.000
Ga1 Ga 0.140 0.360 0.000
Ni1 Ni 0.159 0.659 0.500
```

Energy relative to the lowest polymorph listed for this composition (meV per atom): 11
Magnetic moment (μB/f.u.): 1.22

***

Entry 2:
Material: V2GaNi4
Method: DFT, PBE
State: optimized geometry

```
data_V2GaNi4
_chemical_formula_sum 'V8 Ga4 Ni16'
_cell_length_a 8.592
_cell_length_b 4.824
_cell_length_c 8.444
_cell_angle_alpha 90.00
_cell_angle_beta 90.00
_cell_angle_gamma 90.00
_symmetry_space_group_name_H-M 'C m c e'
_symmetry_Int_Tables_number 64
_symmetry_space_group_name_Hall '-C 2ac 2'
loop_
_atom_site_label
_atom_site_type_symbol
_atom_site_fract_x
_atom_site_fract_y
_atom_site_fract_z
V1 V 0.168 0.000 0.000
Ga1 Ga 0.000 0.000 0.500
Ni1 Ni 0.000 0.113 0.227
Ni2 Ni 0.250 0.189 0.750
```

Energy relative to the lowest polymorph listed for this composition (meV per atom): 107
Magnetic moment (μB/f.u.): 0.00

***

Entry 3:
Material: VGaNi
Method: DFT, PBE
State: optimized geometry

```
data_VGaNi
_chemical_formula_sum 'V1 Ga1 Ni1'
_cell_length_a 4.1099
_cell_length_b 4.1099
_cell_length_c 2.6649
_cell_angle_alpha 90.00
_cell_angle_beta 90.00
_cell_angle_gamma 120.00
_symmetry_space_group_name_H-M 'P -6 m 2'
_symmetry_Int_Tables_number 187
_symmetry_space_group_name_Hall 'P -6 2'
loop_
_atom_site_label
_atom_site_type_symbol
_atom_site_fract_x
_atom_site_fract_y
_atom_site_fract_z
V1 V 0.0000 0.0000 0.0000
Ga1 Ga 0.3333 0.6667 0.5000
Ni1 Ni 0.6667 0.3333 0.5000
```

Magnetic moment (μB/f.u.): 0.38

***

Entry 4:
Material: VGaNi3
Method: DFT, PBE
State: optimized geometry

```
data_VGaNi3
_chemical_formula_sum 'V4 Ga4 Ni12'
_cell_length_a 2.623
_cell_length_b 12.221
_cell_length_c 8.248
_cell_angle_alpha 90.00
_cell_angle_beta 90.00
_cell_angle_gamma 90.00
_symmetry_space_group_name_H-M 'C m c m'
_symmetry_Int_Tables_number 63
_symmetry_space_group_name_Hall '-C 2c 2'
loop_
_atom_site_label
_atom_site_type_symbol
_atom_site_fract_x
_atom_site_fract_y
_atom_site_fract_z
V1 V 0.000 0.205 0.250
Ga1 Ga 0.000 0.000 0.000
Ni1 Ni 0.000 0.124 0.750
Ni2 Ni 0.000 0.335 0.000
```

Energy relative to the lowest polymorph listed for this composition (meV per atom): 0
Magnetic moment (μB/f.u.): 0.00

***

Entry 5:
Material: V3GaNi6
Method: DFT, PBE
State: optimized geometry

```
data_V3GaNi6
_chemical_formula_sum 'V6 Ga2 Ni12'
_cell_length_a 8.090
_cell_length_b 3.592
_cell_length_c 8.106
_cell_angle_alpha 90.00
_cell_angle_beta 90.13
_cell_angle_gamma 90.00
_symmetry_space_group_name_H-M 'P 1 21/m 1'
_symmetry_Int_Tables_number 11
loop_
_symmetry_equiv_pos_as_xyz
'x,y,z'
'-x,-y,-z'
'-x,y+1/2,-z'
'x,-y+1/2,z'
loop_
_atom_site_label
_atom_site_type_symbol
_atom_site_fract_x
_atom_site_fract_y
_atom_site_fract_z
V1 V 0.051 0.250 0.400
V2 V 0.150 0.750 0.211
V3 V 0.252 0.250 0.001
Ga1 Ga 0.442 0.250 0.618
Ni1 Ni 0.048 0.750 0.903
Ni2 Ni 0.146 0.250 0.706
Ni3 Ni 0.255 0.750 0.508
Ni4 Ni 0.343 0.750 0.814
Ni5 Ni 0.356 0.250 0.303
Ni6 Ni 0.448 0.750 0.098
```

Energy relative to the lowest polymorph listed for this composition (meV per atom): 0
Magnetic moment (μB/f.u.): 0.00

***

Entry 6:
Material: V6Ga2Ni
Method: DFT, PBE
State: optimized geometry

```
data_V6Ga2Ni
_chemical_formula_sum 'V6 Ga2 Ni1'
_cell_length_a 2.701
_cell_length_b 6.656
_cell_length_c 6.998
_cell_angle_alpha 88.04
_cell_angle_beta 81.14
_cell_angle_gamma 79.56
_symmetry_space_group_name_H-M 'P -1'
_symmetry_Int_Tables_number 2
loop_
_symmetry_equiv_pos_as_xyz
'x,y,z'
'-x,-y,-z'
loop_
_atom_site_label
_atom_site_type_symbol
_atom_site_fract_x
_atom_site_fract_y
_atom_site_fract_z
V1 V 0.021 0.349 0.248
V2 V 0.357 0.979 0.817
V3 V 0.388 0.327 0.572
Ga1 Ga 0.329 0.685 0.089
Ni1 Ni 0.000 0.000 0.500
```

Magnetic moment (μB/f.u.): 0.00

***

Entry 7:
Material: V3Ga2Ni2
Method: DFT, PBE
State: optimized geometry

```
data_V3Ga2Ni2
_chemical_formula_sum 'V9 Ga6 Ni6'
_cell_length_a 4.1740
_cell_length_b 4.1740
_cell_length_c 18.0336
_cell_angle_alpha 90.00
_cell_angle_beta 90.00
_cell_angle_gamma 120.00
_symmetry_space_group_name_H-M 'R -3 m'
_symmetry_Int_Tables_number 166
_symmetry_space_group_name_Hall '-R 3 2"'
loop_
_atom_site_label
_atom_site_type_symbol
_atom_site_fract_x
_atom_site_fract_y
_atom_site_fract_z
V1 V 0.0000 0.0000 0.0000
V2 V 0.0000 0.0000 0.1443
Ga1 Ga 0.0000 0.0000 0.4210
Ni1 Ni 0.0000 0.0000 0.2814
```

Magnetic moment (μB/f.u.): 0.00

***

Entry 8:
Material: V3GaNi6
Method: DFT, PBE
State: optimized geometry

```
data_V3GaNi6
_chemical_formula_sum 'V12 Ga4 Ni24'
_cell_length_a 9.255
_cell_length_b 12.559
_cell_length_c 4.262
_cell_angle_alpha 90.00
_cell_angle_beta 90.00
_cell_angle_gamma 90.00
_symmetry_space_group_name_H-M 'C m c 21'
_symmetry_Int_Tables_number 36
loop_
_symmetry_equiv_pos_as_xyz
'x,y,z'
'-x,-y,z+1/2'
'-x,y,z'
'x,-y,z+1/2'
'x+1/2,y+1/2,z'
'-x+1/2,-y+1/2,z+1/2'
'-x+1/2,y+1/2,z'
'x+1/2,-y+1/2,z+1/2'
loop_
_atom_site_label
_atom_site_type_symbol
_atom_site_fract_x
_atom_site_fract_y
_atom_site_fract_z
V1 V 0.000 0.136 0.000
V2 V 0.234 0.397 0.438
Ga1 Ga 0.000 0.355 0.071
Ni1 Ni 0.000 0.241 0.539
Ni2 Ni 0.000 0.452 0.590
Ni3 Ni 0.127 0.053 0.475
Ni4 Ni 0.226 0.292 0.908
```

Energy relative to the lowest polymorph listed for this composition (meV per atom): 190
Magnetic moment (μB/f.u.): 0.00

***

Let's list formation energy from the elements in order: -0.95, -0.01, -0.65, -0.29, -2.35, -0.71, -1.10, -0.45 eV per formula unit.
Let's list E_tot in order: -5.54, -6.34, -6.19, -5.95, -6.74, -7.47, -6.58, -6.55 eV/atom.